VASP calculation (PBE) on a geometry-optimized Rb3NpAg2O6 structure.

a b c (Å): 7.333 7.333 6.176
angles (deg): 93.92 93.92 130.51
Fractional coordinates of all 12 atoms:
O 0.668 0.890 0.844
O 0.864 0.864 0.261
O 0.110 0.332 0.156
O 0.890 0.668 0.844
O 0.136 0.136 0.739
O 0.332 0.110 0.156
Np 0.000 0.000 0.000
Rb 0.500 0.500 0.500
Rb 0.174 0.826 0.500
Rb 0.826 0.174 0.500
Ag 0.618 0.382 0.000
Ag 0.382 0.618 0.000

Calculated values
* space group: No. 12
* formation energy without anion corrections: -1.581 eV/atom
* energy: -0.4304 Ry per atom

VASP calculation (PBE) on a geometry-optimized RbNpAgO5 structure.

a b c (Å): 6.366 6.366 8.201
angles (deg): 101.25 101.25 112.35
Fractional coordinates of all 16 atoms:
O 0.673 0.752 0.924
O 0.752 0.673 0.424
O 0.248 0.327 0.576
O 0.327 0.248 0.076
O 0.946 0.054 0.750
O 0.112 0.761 0.922
O 0.761 0.112 0.422
O 0.888 0.239 0.078
O 0.054 0.946 0.250
O 0.239 0.888 0.578
Ag 0.320 0.680 0.750
Ag 0.680 0.320 0.250
Np 0.000 0.000 0.000
Np 0.000 0.000 0.500
Rb 0.677 0.323 0.750
Rb 0.323 0.677 0.250

Calculated values
* space group: No. 15
* formation energy without anion corrections: -1.762 eV/atom
* Fermi-level density of states: 6.566 states/eV/f.u.
* energy: -0.5112 Ry per atom

VASP calculation (PBE) on a geometry-optimized NpAg2RhO6 structure.

a b c (Å): 5.610 5.667 8.008
angles (deg): 90.00 89.84 90.00
Site moments in Bohr magnetons follow the coordinates.
Fractional coordinates of all 20 atoms:
O 0.207 0.202 0.036  0.03
O 0.927 0.519 0.254  0.03
O 0.793 0.798 0.964  0.03
O 0.073 0.481 0.746  0.03
O 0.298 0.710 0.038  0.03
O 0.702 0.290 0.962  0.03
O 0.573 0.019 0.246  0.03
O 0.798 0.790 0.538  0.03
O 0.293 0.702 0.464  0.03
O 0.707 0.298 0.536  0.03
O 0.427 0.981 0.754  0.03
O 0.202 0.210 0.462  0.03
Ag 0.999 0.012 0.749  0.02
Ag 0.499 0.488 0.249  0.02
Ag 0.501 0.512 0.751  0.02
Ag 0.001 0.988 0.251  0.02
Rh 0.000 0.500 0.500  0.09
Rh 0.500 0.000 0.000  0.09
Np 0.500 0.000 0.500  -0.57
Np 0.000 0.500 0.000  -0.57

Calculated values
* space group: No. 14
* formation energy without anion corrections: -1.287 eV/atom
* Fermi-level density of states: 5.744 states/eV/f.u.
* energy: -0.5043 Ry per atom